No. 1
A plane-wave DFT calculation with GGA-PBE was carried out for a relaxed structure of ThBi2.

## Properties
energy = -33.562 eV/cell
size of the total moment = 0.00 μB/cell
DFT formation energy = -0.53 eV/atom

a = 4.5592 Å, b = 4.5592 Å, c = 9.3739 Å
α = 90.00°, β = 90.00°, γ = 90.00°
With the nearest neighbours (Å) after each atom.
Space group P4/nmm (No. 129, origin choice 2)
Unique sites:
Th  0.2500  0.2500  0.2213 (multiplicity 2)  9 Bi 3.32-3.47
Bi  0.2500  0.2500  0.8628 (multiplicity 2)  5 Th 3.32-3.36
Bi  0.2500  0.7500  0.5000 (multiplicity 2)  4 Bi 3.22, 4 Th 3.47

No. 2
A plane-wave DFT calculation with GGA-PBE was carried out for a relaxed structure of KCa2Os.

## Properties
energy = -14.687 eV/cell
size of the total moment = 0.00 μB/cell
DFT formation energy = 0.41 eV/atom
energy relative to the lowest polymorph listed for this composition = 0 meV per atom

a = 3.5094 Å, b = 3.5094 Å, c = 10.8706 Å
α = 90.00°, β = 90.39°, γ = 90.00°
With the nearest neighbours (Å) after each atom.
Space group P2/m (No. 10)
Unique sites:
K  0.0000  0.0000  0.0000 (multiplicity 1)  4 K 3.51
Ca  0.4964  0.5000  0.3486 (multiplicity 2)  4 Os 2.98, 1 Ca 3.29
Os  0.0000  0.0000  0.5000 (multiplicity 1)  8 Ca 2.98

No. 3
A plane-wave DFT calculation with GGA-PBE was carried out for a relaxed structure of InPt.

## Properties
energy = -27.901 eV/cell
size of the total moment = 0.00 μB/cell
DFT formation energy = -0.26 eV/atom

a = 3.1429 Å, b = 3.1429 Å, c = 13.0642 Å
α = 90.00°, β = 90.00°, γ = 120.00°
With the nearest neighbours (Å) after each atom.
Space group R-3m (No. 166, hexagonal axes)
Unique sites:
In  0.0000  0.0000  0.0000 (multiplicity 3)  6 Pt 2.83, 6 In 3.14
Pt  0.0000  0.0000  0.5000 (multiplicity 3)  6 In 2.83, 6 Pt 3.14